Entry from Alexandria: an optimized crystal structure of CaCdRh (PBE).

Computed properties:
Total energy in eV/atom: -3.720
V in Å³/cell: 267.5

```
data_CaCdRh
_chemical_formula_sum 'Ca4 Cd4 Rh4'
_cell_length_a 9.342
_cell_length_b 7.011
_cell_length_c 4.732
_cell_angle_alpha 90.00
_cell_angle_beta 120.33
_cell_angle_gamma 90.00
_symmetry_space_group_name_H-M 'C 1 m 1'
_symmetry_Int_Tables_number 8
loop_
_symmetry_equiv_pos_as_xyz
'x,y,z'
'x,-y,z'
'x+1/2,y+1/2,z'
'x+1/2,-y+1/2,z'
loop_
_atom_site_label
_atom_site_type_symbol
_atom_site_fract_x
_atom_site_fract_y
_atom_site_fract_z
Ca1 Ca 0.000 0.000 0.000
Ca2 Ca 0.080 0.500 0.080
Cd1 Cd 0.380 0.214 0.380
Rh1 Rh 0.208 0.188 0.709
```

***

Entry from Alexandria: an optimized crystal structure of CaCdRh2 (PBE).

Computed properties:
Total energy in eV/atom: -4.678
V in Å³/cell: 157.2

```
data_CaCdRh2
_chemical_formula_sum 'Ca2 Cd2 Rh4'
_cell_length_a 4.669
_cell_length_b 5.493
_cell_length_c 7.126
_cell_angle_alpha 82.91
_cell_angle_beta 70.97
_cell_angle_gamma 65.52
_symmetry_space_group_name_H-M 'P -1'
_symmetry_Int_Tables_number 2
loop_
_symmetry_equiv_pos_as_xyz
'x,y,z'
'-x,-y,-z'
loop_
_atom_site_label
_atom_site_type_symbol
_atom_site_fract_x
_atom_site_fract_y
_atom_site_fract_z
Ca1 Ca 0.107 0.081 0.206
Cd1 Cd 0.500 0.000 0.500
Cd2 Cd 0.500 0.500 0.000
Rh1 Rh 0.162 0.371 0.802
Rh2 Rh 0.266 0.548 0.422
```

***

Entry from Alexandria: an optimized crystal structure of CaCd4Rh (PBE).

Computed properties:
Total energy in eV/atom: -2.257
Distance to the lowest polymorph of the same formula in eV/f.u.: 1.02
V in Å³/cell: 514.9

```
data_CaCd4Rh
_chemical_formula_sum 'Ca4 Cd16 Rh4'
_cell_length_a 8.015
_cell_length_b 8.015
_cell_length_c 8.015
_cell_angle_alpha 90.00
_cell_angle_beta 90.00
_cell_angle_gamma 90.00
_symmetry_space_group_name_H-M 'F -4 3 m'
_symmetry_Int_Tables_number 216
_symmetry_space_group_name_Hall 'F -4 2 3'
loop_
_atom_site_label
_atom_site_type_symbol
_atom_site_fract_x
_atom_site_fract_y
_atom_site_fract_z
Ca1 Ca 0.000 0.000 0.000
Cd1 Cd 0.124 0.124 0.624
Rh1 Rh 0.250 0.250 0.250
```

***

Entry from Alexandria: an optimized crystal structure of Ca5Cd2Rh2 (PBE).

Computed properties:
Total energy in eV/atom: -3.265
V in Å³/cell: 989.8

```
data_Ca5Cd2Rh2
_chemical_formula_sum 'Ca20 Cd8 Rh8'
_cell_length_a 16.813
_cell_length_b 7.640
_cell_length_c 7.705
_cell_angle_alpha 90.00
_cell_angle_beta 90.00
_cell_angle_gamma 90.00
_symmetry_space_group_name_H-M 'C m c e'
_symmetry_Int_Tables_number 64
_symmetry_space_group_name_Hall '-C 2ac 2'
loop_
_atom_site_label
_atom_site_type_symbol
_atom_site_fract_x
_atom_site_fract_y
_atom_site_fract_z
Ca1 Ca 0.000 0.000 0.000
Ca2 Ca 0.117 0.172 0.327
Cd1 Cd 0.219 0.000 0.000
Rh1 Rh 0.000 0.122 0.624
```